VASP calculation (SCAN) on a PBEsol-optimized structure of SrNiOs2.

POSCAR file:
```
SrNiOs2
1.0
-1.4988 0.7049 -3.8365
-2.9500 -1.7166 2.4110
-1.3187 4.0294 1.2555
Sr Ni Os
1 1 2
direct
0.5000 0.5000 0.5000
0.0000 0.0000 0.5000
0.8200 0.1800 0.0000
0.1800 0.8200 0.0000
```

Properties
formation enthalpy at 0 K	0.6047	eV/atom
calculated total energy	-44.95	eV per atom